DFT (PBE with a Hubbard U) results for a relaxed NaCuW2O8 crystal.

## Properties
As for the uncorrected energy: -6.40 eV per atom. The space group is P-3 (147).

Unit cell a=5.4066 b=5.4066 c=6.3593 alpha=90.00 beta=90.00 gamma=120.00
Positions (direct):
O1 0.3333 0.6667 0.6217
O2 0.6667 0.3333 0.3783
O3 0.6889 0.0493 0.8685
O4 0.9507 0.6396 0.8685
O5 0.3111 0.9507 0.1315
O6 0.3604 0.3111 0.8685
O7 0.6396 0.6889 0.1315
O8 0.0493 0.3604 0.1315
Na1 0.0000 0.0000 0.5000
W1 0.6667 0.3333 0.1002
W2 0.3333 0.6667 0.8998
Cu1 0.0000 0.0000 0.0000